# CdFeBr, PBEsol geometry, DFT SCAN
# - ΔE_f (raw) (kcal/mol of atoms) = 11.9
# - total energy (eV per atom) = -22.15
# - calculated density (Mg/m³) = 6.7
data_CdFeBr
_chemical_formula_sum 'Cd1 Fe1 Br1'
_space_group_name_H-M_alt 'P 1'
_space_group_IT_number 1
_space_group_name_Hall 'P 1'
_cell_length_a 4.431
_cell_length_b 4.431
_cell_length_c 4.431
_cell_angle_alpha 60.00
_cell_angle_beta 60.00
_cell_angle_gamma 60.00
loop_
_atom_site_label
_atom_site_fract_x
_atom_site_fract_y
_atom_site_fract_z
Cd1 0.000 0.000 0.000
Fe1 0.750 0.750 0.750
Br1 0.500 0.500 0.500